DFT (meta-GGA SCAN) results for Nb2CoPtN at its PBEsol-relaxed geometry.

The structure in POSCAR format:
```
Nb2CoPtN
1.0
-3.6342 2.5270 0.0064
-1.7773 -2.5481 -3.1530
-1.8016 -2.5989 3.1159
Nb Co Pt N
2 1 1 1
Direct
0.0000 0.5000 0.0000
0.5000 0.0000 0.0000
0.0000 0.0000 0.0000
0.0000 0.0000 0.5000
0.5000 0.5000 0.5000
```

Results
ΔE_f (raw)	1.6047	eV per atom
space-group type	P4/mmm (123)